# PtSeN2Cl (PBE-GGA, relaxed)
data_PtSeN2Cl
_cell_length_a 3.7485
_cell_length_b 3.7485
_cell_length_c 8.1393
_cell_angle_alpha 90.00
_cell_angle_beta 90.00
_cell_angle_gamma 90.00
_symmetry_space_group_name_H-M 'P 1'
_symmetry_Int_Tables_number 1
loop_
_symmetry_equiv_pos_as_xyz
'x,y,z'
loop_
_atom_site_label
_atom_site_type_symbol
_atom_site_fract_x
_atom_site_fract_y
_atom_site_fract_z
Pt1 Pt 0.0000 0.0000 0.0000
Se1 Se 0.0000 0.0000 0.5000
N1 N 0.0000 0.5000 0.0000
N2 N 0.5000 0.0000 0.0000
Cl1 Cl 0.5000 0.5000 0.5000
# Total energy, eV/cell: -22.18
# Total magnetic moment, μB/cell: 0.00


# Re4PbSe8 (PBE-GGA, relaxed)
data_Re4PbSe8
_cell_length_a 9.3698
_cell_length_b 9.3698
_cell_length_c 9.3698
_cell_angle_alpha 40.39
_cell_angle_beta 40.39
_cell_angle_gamma 40.39
_symmetry_space_group_name_H-M 'P 1'
_symmetry_Int_Tables_number 1
loop_
_symmetry_equiv_pos_as_xyz
'x,y,z'
loop_
_atom_site_label
_atom_site_type_symbol
_atom_site_fract_x
_atom_site_fract_y
_atom_site_fract_z
Re1 Re 0.0000 0.0000 0.0000
Re2 Re 0.0000 0.5000 0.5000
Re3 Re 0.5000 0.0000 0.5000
Re4 Re 0.5000 0.5000 0.0000
Pb1 Pb 0.5000 0.5000 0.5000
Se1 Se 0.2349 0.2349 0.7335
Se2 Se 0.2349 0.7335 0.2349
Se3 Se 0.2648 0.2648 0.2648
Se4 Se 0.2665 0.7651 0.7651
Se5 Se 0.7335 0.2349 0.2349
Se6 Se 0.7352 0.7352 0.7352
Se7 Se 0.7651 0.2665 0.7651
Se8 Se 0.7651 0.7651 0.2665
# Total energy, eV/cell: -80.82
# Total magnetic moment, μB/cell: 0.00


# GdDyMgTi (PBE-GGA, relaxed)
data_GdDyMgTi
_cell_length_a 5.2575
_cell_length_b 5.2575
_cell_length_c 5.2575
_cell_angle_alpha 60.00
_cell_angle_beta 60.00
_cell_angle_gamma 60.00
_symmetry_space_group_name_H-M 'P 1'
_symmetry_Int_Tables_number 1
loop_
_symmetry_equiv_pos_as_xyz
'x,y,z'
loop_
_atom_site_label
_atom_site_type_symbol
_atom_site_fract_x
_atom_site_fract_y
_atom_site_fract_z
Gd1 Gd 0.0000 0.0000 0.0000
Dy1 Dy 0.5000 0.5000 0.5000
Mg1 Mg 0.2500 0.2500 0.2500
Ti1 Ti 0.7500 0.7500 0.7500
# Formation enthalpy at 0 K, eV per atom: 0.14
# Total magnetic moment, μB/cell: 5.12


# CsCr2H (PBE-GGA, relaxed)
data_CsCr2H
_cell_length_a 5.4557
_cell_length_b 5.4557
_cell_length_c 5.4557
_cell_angle_alpha 60.00
_cell_angle_beta 60.00
_cell_angle_gamma 60.00
_symmetry_space_group_name_H-M 'P 1'
_symmetry_Int_Tables_number 1
loop_
_symmetry_equiv_pos_as_xyz
'x,y,z'
loop_
_atom_site_label
_atom_site_type_symbol
_atom_site_fract_x
_atom_site_fract_y
_atom_site_fract_z
Cs1 Cs 0.0000 0.0000 0.0000
Cr1 Cr 0.2500 0.2500 0.2500
Cr2 Cr 0.7500 0.7500 0.7500
H1 H 0.5000 0.5000 0.5000
# Total energy, eV/cell: -15.96
# Total magnetic moment, μB/cell: 10.80


# Sc4NiOs2 (PBE-GGA, relaxed)
data_Sc4NiOs2
_cell_length_a 7.7806
_cell_length_b 7.7806
_cell_length_c 7.7806
_cell_angle_alpha 33.78
_cell_angle_beta 33.78
_cell_angle_gamma 33.78
_symmetry_space_group_name_H-M 'P 1'
_symmetry_Int_Tables_number 1
loop_
_symmetry_equiv_pos_as_xyz
'x,y,z'
loop_
_atom_site_label
_atom_site_type_symbol
_atom_site_fract_x
_atom_site_fract_y
_atom_site_fract_z
Sc1 Sc 0.1222 0.1222 0.1222
Sc2 Sc 0.3728 0.3728 0.3728
Sc3 Sc 0.6272 0.6272 0.6272
Sc4 Sc 0.8778 0.8778 0.8778
Ni1 Ni 0.5000 0.5000 0.5000
Os1 Os 0.2472 0.2472 0.2472
Os2 Os 0.7528 0.7528 0.7528
# Formation enthalpy at 0 K, eV per atom: -0.38
# Total magnetic moment, μB/cell: 0.00


# Cs2Sn4Pb5 (PBE-GGA, relaxed)
data_Cs2Sn4Pb5
_cell_length_a 8.3384
_cell_length_b 8.3384
_cell_length_c 10.4549
_cell_angle_alpha 123.55
_cell_angle_beta 123.55
_cell_angle_gamma 49.68
_symmetry_space_group_name_H-M 'P 1'
_symmetry_Int_Tables_number 1
loop_
_symmetry_equiv_pos_as_xyz
'x,y,z'
loop_
_atom_site_label
_atom_site_type_symbol
_atom_site_fract_x
_atom_site_fract_y
_atom_site_fract_z
Cs1 Cs 0.2139 0.2139 0.2696
Cs2 Cs 0.7861 0.7861 0.7304
Sn1 Sn 0.1170 0.1170 0.5525
Sn2 Sn 0.2518 0.2518 0.9158
Sn3 Sn 0.7482 0.7482 0.0842
Sn4 Sn 0.8830 0.8830 0.4475
Pb1 Pb 0.2195 0.6996 0.2433
Pb2 Pb 0.3004 0.7805 0.7567
Pb3 Pb 0.5000 0.5000 0.0000
Pb4 Pb 0.6996 0.2195 0.2433
Pb5 Pb 0.7805 0.3004 0.7567
# Formation enthalpy at 0 K, eV per atom: -0.03
# Total magnetic moment, μB/cell: 0.00